Entry 1:
Compound: Ac4SmRh4
Source: the Alexandria database
Functional: PBE
Structure: relaxed

The space group is C2/m (No. 12) and the conventional cell measures 13.990, 4.287 and 10.297 Å, with angles of 90.00, 119.76 and 90.00 degrees. The distinct sites, in fractional coordinates, are Ac at (0.108, 0.000, 0.391), Ac at (0.199, 0.500, 0.809), Sm at (0.000, 0.500, 0.000), Rh at (0.090, 0.000, 0.894) and Rh at (0.210, 0.500, 0.299).

The calculated formation energy is -0.62 eV/atom.


Entry 2:
Compound: CaCoAu2
Source: the Alexandria database
Functional: PBE
Structure: relaxed

The space group is I-42d (No. 122) and the conventional cell measures 4.889, 4.889 and 16.587 Å, with angles of 90.00, 90.00 and 90.00 degrees. The distinct sites, in fractional coordinates, are Ca at (0.000, 0.000, 0.000), Co at (0.000, 0.000, 0.500) and Au at (0.132, 0.250, 0.625).

The calculated formation energy is 0.09 eV/atom.


Entry 3:
Compound: KCaBr2
Source: the Alexandria database
Functional: PBE
Structure: relaxed

The space group is Imm2 (No. 44) and the conventional cell measures 4.004, 4.345 and 16.274 Å, with angles of 90.00, 90.00 and 90.00 degrees. The distinct sites, in fractional coordinates, are K at (0.000, 0.000, 0.000), Ca at (0.000, 0.500, 0.255), Br at (0.000, 0.000, 0.613) and Br at (0.000, 0.500, 0.804).

For the formation energy from raw total energies, the calculation gives -1.393 eV per atom.


Entry 4:
Compound: KNaNbAs2
Source: the Alexandria database
Functional: PBE
Structure: relaxed

The space group is P4/mmm (No. 123) and the conventional cell measures 5.204, 5.204 and 5.167 Å, with angles of 90.00, 90.00 and 90.00 degrees. The distinct sites, in fractional coordinates, are K at (0.000, 0.000, 0.000), Na at (0.500, 0.500, 0.500), Nb at (0.500, 0.500, 0.000) and As at (0.000, 0.500, 0.500).

The calculated formation energy is 1.06 eV/atom.


no.,calculated total energy (eV per atom),calculated density (g/cm3)
1,-6.240,9.1
2,-3.821,8.3
3,-3.004,2.8
4,-3.297,3.6